(1)
SrSmReN4 | PBE | relaxed

Values from the calculation:
The value obtained for the raw total energy is -116.3 eV/cell. As for the crystal system: monoclinic.

a = 5.9921 Å, b = 5.9415 Å, c = 7.1073 Å
α = 90.00°, β = 106.64°, γ = 90.00°
With the nearest neighbours (Å) after each atom.
Space group P2_1/m (No. 11)
Asymmetric unit:
Sr1 0.2173 0.2500 0.4273 [2 per cell]  4 N 2.62-2.75
Sm1 0.2983 0.2500 0.9552 [2 per cell]  6 N 2.40-2.66
Re1 0.2451 0.7500 0.1819 [2 per cell]  4 N 1.81-1.85
N1 0.0489 0.7500 0.3377 [2 per cell]  1 Re 1.83
N2 0.0603 0.7500 0.9316 [2 per cell]  1 Re 1.81
N3 0.4470 0.5080 0.2207 [4 per cell]  1 Re 1.85

=====

(2)
SrSm2ReN4 | PBE | relaxed

Values from the calculation:
The value obtained for the raw total energy is -255.4 eV/cell. As for the crystal system: orthorhombic.

a = 3.5114 Å, b = 12.3686 Å, c = 12.4011 Å
α = 90.00°, β = 90.00°, γ = 90.00°
With the nearest neighbours (Å) after each atom.
Space group Cmcm (No. 63)
Asymmetric unit:
Sr1 0.0000 0.0638 0.2500 [4 per cell]  2 N 2.71
Sm1 0.0000 0.3710 0.0408 [8 per cell]  6 N 2.38-2.61
Re1 0.0000 0.1912 0.7500 [4 per cell]  4 N 1.87-2.07
N1 0.0000 0.0000 0.0000 [4 per cell]  4 Sm 2.43
N2 0.0000 0.2608 0.6162 [8 per cell]  1 Re 1.87
N3 0.0000 0.3972 0.2500 [4 per cell]  2 Re 2.07

=====

(3)
Sr2SmReN4 | PBE | relaxed

Values from the calculation:
The value obtained for the raw total energy is -119.5 eV/cell. As for the crystal system: orthorhombic.

a = 7.7091 Å, b = 7.0797 Å, c = 5.6450 Å
α = 90.00°, β = 90.00°, γ = 90.00°
With the nearest neighbours (Å) after each atom.
Space group Pmn2_1 (No. 31)
Asymmetric unit:
Sr1 0.2467 0.1576 0.0000 [4 per cell]  4 N 2.48-2.70
Sm1 0.0000 0.6559 0.0136 [2 per cell]  4 N 2.26-2.44
Re1 0.0000 0.3459 0.5424 [2 per cell]  4 N 1.86-1.88
N1 0.0000 0.3574 0.8709 [2 per cell]  1 Re 1.86
N2 0.0000 0.5969 0.4328 [2 per cell]  1 Re 1.88
N3 0.2067 0.2195 0.4687 [4 per cell]  1 Re 1.87

=====

(4)
Sr2SmRe2N6 | PBE | relaxed

Values from the calculation:
The value obtained for the raw total energy is -267.8 eV/cell. As for the crystal system: trigonal.

a = 6.1881 Å, b = 6.1881 Å, c = 17.9414 Å
α = 90.00°, β = 90.00°, γ = 120.00°
With the nearest neighbours (Å) after each atom.
Space group R-3m (No. 166, hexagonal axes)
Asymmetric unit:
Sr1 0.0000 0.0000 0.2062 [6 per cell]  3 N 2.74
Sm1 0.0000 0.0000 0.0000 [3 per cell]  6 N 2.40
Re1 0.0000 0.0000 0.4188 [6 per cell]  3 N 1.80
N1 0.0023 0.5012 0.7568 [18 per cell]  1 Re 1.80

=====

- What is the formula in the first record?
  SrSmReN4

=====

- The lowest raw total energy belongs to which entry?
  Sr2SmRe2N6

=====

- What is the raw total energy in the first record?
  -116.3 eV/cell

=====

- Which value of raw total energy does entry 2 give?
  -255.4 eV/cell